Compound: NaTcSb2I
Source: Alexandria
Functional: GGA-PBEsol
Structure: relaxed

Cell: 5.289 5.289 5.468 Å, 90.00 90.00 90.00°
Each line ends with the local moment (μB).
Fractional coordinates of all 5 atoms:
Sb: 0.500 0.000 0.000  -0.11
Sb: 0.000 0.500 0.000  -0.11
I: 0.000 0.000 0.500  -0.02
Na: 0.000 0.000 0.000  0.00
Tc: 0.500 0.500 0.500  3.79

Summary:
Total DFT energy (no corrections) = -16.10 eV/cell
Raw formation energy = 143.8 kJ per mole of atoms

***

Compound: MnCo2Ru
Source: Alexandria
Functional: GGA-PBEsol
Structure: relaxed

Cell: 2.508 3.533 4.979 Å, 90.00 90.00 90.00°
Each line ends with the local moment (μB).
Fractional coordinates of all 4 atoms:
Mn: 0.500 0.500 0.000  1.85
Ru: 0.500 0.500 0.500  0.01
Co: 0.000 0.000 0.755  -0.05
Co: 0.000 0.000 0.245  -0.05

Summary:
Energy above the lowest structure with this stoichiometry = 0.0 kJ/mol of atoms
Total DFT energy (no corrections) = -34.96 eV/cell

***

Compound: CaCd2Hg
Source: Alexandria
Functional: GGA-PBEsol
Structure: relaxed

Cell: 3.398 4.963 5.746 Å, 90.00 94.92 90.00°
Fractional coordinates of all 4 atoms:
Ca: 0.000 0.500 0.500
Hg: 0.500 0.500 0.000
Cd: 0.549 0.000 0.750
Cd: 0.451 0.000 0.250

Summary:
Total DFT energy (no corrections) = -6.19 eV/cell

***

Compound: BeNiF2
Source: Alexandria
Functional: GGA-PBEsol
Structure: relaxed

Cell: 2.475 2.475 8.498 Å, 81.63 81.63 60.00°
Each line ends with the local moment (μB).
Fractional coordinates of all 4 atoms:
F: 0.130 0.130 0.610  0.00
F: 0.870 0.870 0.390  0.00
Be: 0.500 0.500 0.500  0.00
Ni: 0.000 0.000 0.000  0.91

Summary:
Total DFT energy (no corrections) = -21.29 eV/cell
Raw formation energy = -175.6 kJ per mole of atoms

***

Compound: KCd4P3
Source: Alexandria
Functional: GGA-PBEsol
Structure: relaxed

Cell: 4.325 4.325 11.949 Å, 79.57 79.57 60.00°
Fractional coordinates of all 8 atoms:
K: 0.500 0.500 0.500
Cd: 0.302 0.302 0.094
Cd: 0.910 0.910 0.270
Cd: 0.090 0.090 0.730
Cd: 0.698 0.698 0.906
P: 0.229 0.229 0.314
P: 0.771 0.771 0.686
P: 0.000 0.000 0.000

Summary:
Total DFT energy (no corrections) = -24.66 eV/cell

***

Compound: LiPb
Source: Alexandria
Functional: GGA-PBEsol
Structure: relaxed

Cell: 3.406 4.881 5.694 Å, 90.00 107.41 90.00°
Fractional coordinates of all 4 atoms:
Li: 0.872 0.750 0.743
Li: 0.128 0.250 0.257
Pb: 0.604 0.750 0.208
Pb: 0.396 0.250 0.792

Summary:
Total DFT energy (no corrections) = -12.81 eV/cell

***

Compound: Mn2AlAu
Source: Alexandria
Functional: GGA-PBEsol
Structure: relaxed

Cell: 2.771 2.771 6.949 Å, 90.00 90.00 90.00°
Each line ends with the local moment (μB).
Fractional coordinates of all 4 atoms:
Al: 0.500 0.500 0.470  0.02
Mn: 0.500 0.500 0.039  2.55
Mn: 0.000 0.000 0.239  -1.20
Au: 0.000 0.000 0.752  0.04

Summary:
Energy above the lowest structure with this stoichiometry = 0.0 kJ/mol of atoms
Total DFT energy (no corrections) = -27.90 eV/cell

***

Compound: V3HSe
Source: Alexandria
Functional: GGA-PBEsol
Structure: relaxed

Cell: 3.783 3.783 3.783 Å, 90.00 90.00 90.00°
Fractional coordinates of all 5 atoms:
H: 0.000 0.000 0.000
V: 0.000 0.500 0.000
V: 0.000 0.000 0.500
V: 0.500 0.000 0.000
Se: 0.500 0.500 0.500

Summary:
Total DFT energy (no corrections) = -36.59 eV/cell

***

Compound: Si2RhBr
Source: Alexandria
Functional: GGA-PBEsol
Structure: relaxed

Cell: 4.072 4.072 4.803 Å, 115.08 115.08 90.00°
Fractional coordinates of all 4 atoms:
Si: 0.750 0.250 0.500
Si: 0.250 0.750 0.500
Rh: 0.000 0.000 0.000
Br: 0.500 0.500 0.000

Summary:
Energy above the lowest structure with this stoichiometry = 46.7 kJ/mol of atoms
Total DFT energy (no corrections) = -19.57 eV/cell
Raw formation energy = 46.6 kJ per mole of atoms

***

Compound: CaIn2Hg2
Source: Alexandria
Functional: GGA-PBEsol
Structure: relaxed

Cell: 4.405 4.405 7.201 Å, 107.81 107.81 90.00°
Fractional coordinates of all 5 atoms:
In: 0.250 0.750 0.500
In: 0.750 0.250 0.500
Hg: 0.605 0.605 0.209
Hg: 0.395 0.395 0.791
Ca: 0.000 0.000 0.000

Summary:
Total DFT energy (no corrections) = -10.88 eV/cell

***

Compound: KCaCo2
Source: Alexandria
Functional: GGA-PBEsol
Structure: relaxed

Cell: 4.079 4.165 5.374 Å, 112.80 112.31 90.00°
Each line ends with the local moment (μB).
Fractional coordinates of all 4 atoms:
K: 0.000 0.500 0.000  -0.04
Co: 0.250 0.250 0.499  1.43
Co: 0.750 0.750 0.501  1.43
Ca: 0.500 0.000 0.000  -0.10

Summary:
Energy above the lowest structure with this stoichiometry = 11.7 kJ/mol of atoms
Total DFT energy (no corrections) = -14.11 eV/cell

***

Compound: PrHSe
Source: Alexandria
Functional: GGA-PBEsol
Structure: relaxed

Cell: 3.995 3.995 7.894 Å, 90.00 90.00 120.00°
Fractional coordinates of all 6 atoms:
Se: 0.000 0.000 0.500
Se: 0.000 0.000 0.000
Pr: 0.333 0.667 0.250
Pr: 0.667 0.333 0.750
H: 0.333 0.667 0.750
H: 0.667 0.333 0.250

Summary:
Total DFT energy (no corrections) = -33.49 eV/cell

***

Compound: YMgCu
Source: Alexandria
Functional: GGA-PBEsol
Structure: relaxed

Cell: 4.499 5.290 5.695 Å, 90.00 90.00 115.16°
Fractional coordinates of all 6 atoms:
Y: 0.805 0.609 0.250
Y: 0.195 0.391 0.750
Mg: 0.500 0.000 0.000
Mg: 0.500 0.000 0.500
Cu: 0.893 0.786 0.750
Cu: 0.107 0.214 0.250

Summary:
Energy above the lowest structure with this stoichiometry = 2.1 kJ/mol of atoms
Total DFT energy (no corrections) = -26.80 eV/cell

***

Compound: Li2MnCoO4
Source: Alexandria
Functional: GGA-PBEsol
Structure: relaxed

Cell: 2.830 4.926 4.890 Å, 108.82 90.00 90.00°
Each line ends with the local moment (μB).
Fractional coordinates of all 8 atoms:
Li: 0.500 0.000 0.500  0.00
Li: 0.000 0.000 0.000  0.00
O: 0.500 0.280 0.256  0.02
O: 0.500 0.720 0.744  0.02
O: 0.000 0.724 0.243  0.02
O: 0.000 0.276 0.757  0.02
Mn: 0.500 0.500 0.000  2.16
Co: 0.000 0.500 0.500  -0.26

Summary:
Energy above the lowest structure with this stoichiometry = 0.1 kJ/mol of atoms
Total DFT energy (no corrections) = -55.74 eV/cell
Raw formation energy = -160.6 kJ per mole of atoms